# 1
This record from Alexandria describes a relaxed NaScGe crystal. The functional is GGA-PBE.

Lattice parameters (Å, degrees): 4.8225 4.8225 6.8051 90.00 90.00 90.00
Fractional positions:
Na  0.2500  0.7500  0.0000
Na  0.7500  0.2500  0.0000
Sc  0.2500  0.7500  0.5000
Sc  0.7500  0.2500  0.5000
Ge  0.2500  0.2500  0.3043
Ge  0.7500  0.7500  0.6957

Summary:
Final energy: -4.428 eV per atom
Energy relative to the elements: -0.338 eV per atom


# 2
This record from Alexandria describes a relaxed NaScGe crystal. The functional is GGA-PBE.

Lattice parameters (Å, degrees): 4.0025 4.0025 8.0698 90.00 90.00 90.00
Fractional positions:
Na  0.2500  0.7500  0.0000
Na  0.7500  0.2500  0.0000
Sc  0.2500  0.2500  0.3705
Sc  0.7500  0.7500  0.6295
Ge  0.2500  0.2500  0.7097
Ge  0.7500  0.7500  0.2903

Summary:
Final energy: -4.417 eV per atom
Energy relative to the elements: -0.328 eV per atom


> The lowest energy relative to the elements belongs to which entry?

number 1


> Look up the energy relative to the elements of the first one.

-0.338 eV per atom